Entry 1:
# KAsIrO PBE relaxed
# **Electronic total energy**: -4.398 eV/atom
# **M_tot**: 0.00 μB/cell
data_KAsIrO
_cell_length_a 3.7252
_cell_length_b 3.7252
_cell_length_c 9.3453
_cell_angle_alpha 90.00
_cell_angle_beta 90.00
_cell_angle_gamma 90.00
_space_group_name_H-M_alt 'P 4/n m m'
_space_group_IT_number 129
loop_
_space_group_symop_operation_xyz
'x,y,z'
'-x,-y,-z'
'-y+1/2,x,z'
'y+1/2,-x,-z'
'-x+1/2,-y+1/2,z'
'x+1/2,y+1/2,-z'
'y,-x+1/2,z'
'-y,x+1/2,-z'
'x+1/2,-y,-z'
'-x+1/2,y,z'
'-y,-x,-z'
'y,x,z'
'-x,y+1/2,-z'
'x,-y+1/2,z'
'y+1/2,x+1/2,-z'
'-y+1/2,-x+1/2,z'
loop_
_atom_site_label
_atom_site_type_symbol
_atom_site_fract_x
_atom_site_fract_y
_atom_site_fract_z
_atom_site_occupancy
K1 K 0.2500 0.7500 0.0000 1
As1 As 0.2500 0.2500 0.2657 1
Ir1 Ir 0.2500 0.2500 0.6325 1
O1 O 0.2500 0.7500 0.5000 1


Entry 2:
# K4AsPIr2 PBE relaxed
# **Electronic total energy**: -4.224 eV/atom
# **M_tot**: 0.00 μB/cell
data_K4AsPIr2
_cell_length_a 6.1659
_cell_length_b 9.9975
_cell_length_c 7.3777
_cell_angle_alpha 90.00
_cell_angle_beta 90.00
_cell_angle_gamma 90.00
_space_group_name_H-M_alt 'A m m 2'
_space_group_IT_number 38
loop_
_space_group_symop_operation_xyz
'x,y,z'
'-x,-y,z'
'-x,y,z'
'x,-y,z'
'x,y+1/2,z+1/2'
'-x,-y+1/2,z+1/2'
'-x,y+1/2,z+1/2'
'x,-y+1/2,z+1/2'
loop_
_atom_site_label
_atom_site_type_symbol
_atom_site_fract_x
_atom_site_fract_y
_atom_site_fract_z
_atom_site_occupancy
K1 K 0.0000 0.1735 0.0000 1
K2 K 0.5000 0.1789 0.3014 1
As1 As 0.5000 0.0000 0.9144 1
P1 P 0.0000 0.0000 0.4545 1
Ir1 Ir 0.2839 0.0000 0.6406 1


Entry 3:
# La3AsIr PBE relaxed
# **Electronic total energy**: -6.569 eV/atom
# **M_tot**: 0.23 μB/cell
data_La3AsIr
_cell_length_a 4.2526
_cell_length_b 13.2499
_cell_length_c 10.5562
_cell_angle_alpha 90.00
_cell_angle_beta 90.00
_cell_angle_gamma 90.00
_space_group_name_H-M_alt 'C m c m'
_space_group_IT_number 63
_space_group_name_Hall '-C 2c 2'
loop_
_atom_site_label
_atom_site_type_symbol
_atom_site_fract_x
_atom_site_fract_y
_atom_site_fract_z
_atom_site_occupancy
La1 La 0.0000 0.0806 0.2500 1
La2 La 0.0000 0.3574 0.0585 1
As1 As 0.0000 0.2488 0.7500 1
Ir1 Ir 0.0000 0.0000 0.0000 1


Entry 4:
# LaAsIr PBE relaxed
# **Electronic total energy**: -6.008 eV/atom
# **M_tot**: 0.02 μB/cell
data_LaAsIr
_cell_length_a 6.8177
_cell_length_b 6.8177
_cell_length_c 6.8177
_cell_angle_alpha 90.00
_cell_angle_beta 90.00
_cell_angle_gamma 90.00
_space_group_name_H-M_alt 'F -4 3 m'
_space_group_IT_number 216
_space_group_name_Hall 'F -4 2 3'
loop_
_atom_site_label
_atom_site_type_symbol
_atom_site_fract_x
_atom_site_fract_y
_atom_site_fract_z
_atom_site_occupancy
La1 La 0.0000 0.0000 0.0000 1
As1 As 0.2500 0.2500 0.7500 1
Ir1 Ir 0.2500 0.2500 0.2500 1


Entry 5:
# LaNdAs2Ir2O2 PBE relaxed
# **Electronic total energy**: -7.668 eV/atom
# **M_tot**: 0.00 μB/cell
data_LaNdAs2Ir2O2
_cell_length_a 4.0997
_cell_length_b 4.0997
_cell_length_c 8.4877
_cell_angle_alpha 90.00
_cell_angle_beta 90.00
_cell_angle_gamma 90.00
_space_group_name_H-M_alt 'P 4 m m'
_space_group_IT_number 99
loop_
_space_group_symop_operation_xyz
'x,y,z'
'-y,x,z'
'-x,-y,z'
'y,-x,z'
'-x,y,z'
'y,x,z'
'x,-y,z'
'-y,-x,z'
loop_
_atom_site_label
_atom_site_type_symbol
_atom_site_fract_x
_atom_site_fract_y
_atom_site_fract_z
_atom_site_occupancy
La1 La 0.0000 0.0000 0.0000 1
Nd1 Nd 0.5000 0.5000 0.7210 1
As1 As 0.0000 0.0000 0.5290 1
As2 As 0.5000 0.5000 0.1987 1
Ir1 Ir 0.0000 0.5000 0.3640 1
O1 O 0.0000 0.5000 0.8582 1


Entry 6:
# LaAsIrO PBE relaxed
# **Electronic total energy**: -7.237 eV/atom
# **M_tot**: 0.04 μB/cell
data_LaAsIrO
_cell_length_a 4.4139
_cell_length_b 4.3049
_cell_length_c 7.4422
_cell_angle_alpha 90.00
_cell_angle_beta 90.00
_cell_angle_gamma 90.00
_space_group_name_H-M_alt 'P m c 21'
_space_group_IT_number 26
loop_
_space_group_symop_operation_xyz
'x,y,z'
'-x,-y,z+1/2'
'-x,y,z'
'x,-y,z+1/2'
loop_
_atom_site_label
_atom_site_type_symbol
_atom_site_fract_x
_atom_site_fract_y
_atom_site_fract_z
_atom_site_occupancy
La1 La 0.0000 0.2474 0.0000 1
As1 As 0.5000 0.2502 0.6680 1
Ir1 Ir 0.5000 0.2489 0.3344 1
O1 O 0.0000 0.2584 0.3320 1


Entry 7:
# LaAsIrO PBE relaxed
# **Electronic total energy**: -7.128 eV/atom
# **M_tot**: 0.00 μB/cell
data_LaAsIrO
_cell_length_a 3.4039
_cell_length_b 8.0815
_cell_length_c 5.3795
_cell_angle_alpha 90.00
_cell_angle_beta 90.00
_cell_angle_gamma 90.00
_space_group_name_H-M_alt 'P m c 21'
_space_group_IT_number 26
loop_
_space_group_symop_operation_xyz
'x,y,z'
'-x,-y,z+1/2'
'-x,y,z'
'x,-y,z+1/2'
loop_
_atom_site_label
_atom_site_type_symbol
_atom_site_fract_x
_atom_site_fract_y
_atom_site_fract_z
_atom_site_occupancy
La1 La 0.0000 0.1560 0.0000 1
As1 As 0.0000 0.4410 0.5260 1
Ir1 Ir 0.5000 0.2369 0.4982 1
O1 O 0.5000 0.0170 0.2701 1


Entry 8:
# La2AsPIr2O2 PBE relaxed
# **Electronic total energy**: -7.896 eV/atom
# **M_tot**: 0.00 μB/cell
data_La2AsPIr2O2
_cell_length_a 4.0538
_cell_length_b 4.0538
_cell_length_c 8.6254
_cell_angle_alpha 90.00
_cell_angle_beta 90.00
_cell_angle_gamma 90.00
_space_group_name_H-M_alt 'P 4 m m'
_space_group_IT_number 99
loop_
_space_group_symop_operation_xyz
'x,y,z'
'-y,x,z'
'-x,-y,z'
'y,-x,z'
'-x,y,z'
'y,x,z'
'x,-y,z'
'-y,-x,z'
loop_
_atom_site_label
_atom_site_type_symbol
_atom_site_fract_x
_atom_site_fract_y
_atom_site_fract_z
_atom_site_occupancy
La1 La 0.0000 0.0000 0.0000 1
La2 La 0.5000 0.5000 0.2852 1
As1 As 0.5000 0.5000 0.7999 1
P1 P 0.0000 0.0000 0.4873 1
Ir1 Ir 0.0000 0.5000 0.6288 1
O1 O 0.0000 0.5000 0.1403 1